Crystalline Rb2TmBr6 at its relaxed geometry, computed with PBE-GGA.

Lattice parameters (Å, degrees): 4.4903 15.2488 8.7842 90.00 90.00 90.00
With the nearest neighbours (Å) after each atom.
Space group Amm2 (No. 38)
Inequivalent atoms, fractional coordinates:
Rb (0.0000, 0.1669, 0.0000)  9 Br 3.49-3.67
Tm (0.5000, 0.0000, 0.5011)  9 Br 3.00-3.01
Br (0.0000, 0.0000, 0.7282)  2 Tm 3.00
Br (0.0000, 0.1133, 0.3870)  2 Tm 3.01
Br (0.5000, 0.0000, 0.1581)  1 Tm 3.01
Br (0.5000, 0.1716, 0.6715)  1 Tm 3.01

Output
Density: 4.52 Mg/m³
E_form (uncorrected): -1.47 eV per atom
Total magnetic moment: 0.1164 μB per atom
Calculated total energy: -59.31 eV/cell